No. 1
MnMoPt | Alexandria | PBE-GGA | relaxed; V = 14.6 A^3/atom; crystal system = orthorhombic; ΔE to the lowest computed polymorph = 0 meV/atom; DFT formation energy = -0.13 eV per atom; total magnetization = 2.4 μB/cell
1.0
-1.365 1.917 4.199
1.365 -1.917 4.199
1.365 1.917 -4.199
Mn Mo Pt
1 1 1
Direct
0.000 0.000 0.000
0.341 0.341 0.000
0.666 0.666 0.000

***

No. 2
Al3CdAg2 | Alexandria | PBE-GGA | relaxed; V = 17.9 A^3/atom; crystal system = hexagonal; DFT formation energy = 0.04 eV per atom; total magnetization = 0.0 μB/cell
1.0
2.998 0.000 0.000
-1.499 2.597 0.000
0.000 0.000 27.621
Al Cd Ag
6 2 4
Direct
0.000 0.000 0.000
0.000 0.000 0.500
0.333 0.667 0.160
0.333 0.667 0.340
0.667 0.333 0.660
0.667 0.333 0.840
0.000 0.000 0.250
0.000 0.000 0.750
0.333 0.667 0.580
0.333 0.667 0.920
0.667 0.333 0.080
0.667 0.333 0.420

***

No. 3
LaNd3Er | Alexandria | PBE-GGA | relaxed; V = 38.2 A^3/atom; crystal system = trigonal; ΔE to the lowest computed polymorph = 183 meV/atom; DFT formation energy = 0.36 eV per atom; total magnetization = 0.0 μB/cell
1.0
3.122 1.802 11.318
-3.122 1.802 11.318
0.000 -3.605 11.318
La Nd Er
2 6 2
Direct
0.166 0.166 0.166
0.834 0.834 0.834
0.084 0.751 0.409
0.249 0.591 0.916
0.409 0.084 0.751
0.591 0.916 0.249
0.751 0.409 0.084
0.916 0.249 0.591
0.334 0.334 0.334
0.666 0.666 0.666

***

No. 4
Pr2HoEr2 | Alexandria | PBE-GGA | relaxed; V = 35.1 A^3/atom; crystal system = monoclinic; ΔE to the lowest computed polymorph = 277 meV/atom; DFT formation energy = 0.29 eV per atom; total magnetization = 0.0 μB/cell
1.0
4.647 -6.666 0.000
4.647 6.666 0.000
-2.253 0.000 5.659
Pr Ho Er
4 2 4
Direct
0.107 0.263 0.368
0.263 0.107 0.868
0.737 0.893 0.132
0.893 0.737 0.632
0.438 0.562 0.250
0.562 0.438 0.750
0.172 0.828 0.250
0.306 0.694 0.750
0.694 0.306 0.250
0.828 0.172 0.750

***

No. 5
Nb2Te2Br | Alexandria | PBE-GGA | relaxed; V = 26.3 A^3/atom; crystal system = tetragonal; ΔE to the lowest computed polymorph = 318 meV/atom; raw formation energy = 0.167 eV per atom; total magnetization = 0.0 μB/cell
1.0
8.758 0.000 0.000
0.000 8.758 0.000
0.000 0.000 3.423
Nb Te Br
4 4 2
Direct
0.109 0.391 0.000
0.391 0.891 0.000
0.609 0.109 0.000
0.891 0.609 0.000
0.147 0.647 0.500
0.353 0.147 0.500
0.647 0.853 0.500
0.853 0.353 0.500
0.000 0.000 0.500
0.500 0.500 0.500

***

No. 6
ZnRh2Br | Alexandria | PBE-GGA | relaxed; V = 16.0 A^3/atom; crystal system = tetragonal; ΔE to the lowest computed polymorph = 294 meV/atom; raw formation energy = 0.403 eV per atom; total magnetization = 0.0 μB/cell
1.0
-1.875 1.875 4.560
1.875 -1.875 4.560
1.875 1.875 -4.560
Zn Rh Br
1 2 1
Direct
0.000 0.000 0.000
0.500 0.500 0.000
0.750 0.250 0.500
0.250 0.750 0.500

***

No. 7
CsInSn2Mo | Alexandria | PBE-GGA | relaxed; V = 31.4 A^3/atom; crystal system = tetragonal; DFT formation energy = 0.03 eV per atom; total magnetization = 0.0 μB/cell
1.0
5.347 0.000 0.000
0.000 5.347 0.000
0.000 0.000 5.488
Cs In Sn Mo
1 1 2 1
Direct
0.000 0.000 0.000
0.500 0.500 0.000
0.000 0.500 0.500
0.500 0.000 0.500
0.500 0.500 0.500

***

No. 8
Cs2PmBeO4 | Alexandria | PBE-GGA | relaxed; V = 25.0 A^3/atom; crystal system = orthorhombic; raw formation energy = -1.814 eV per atom; total magnetization = 2.1 μB/cell
1.0
0.000 6.213 12.243
2.634 0.000 12.243
2.634 6.213 0.000
Cs Pm Be O
4 2 2 8
Direct
0.053 0.053 0.697
0.303 0.303 0.947
0.697 0.697 0.053
0.947 0.947 0.303
0.125 0.125 0.125
0.875 0.875 0.875
0.375 0.375 0.375
0.625 0.625 0.625
0.074 0.599 0.512
0.316 0.512 0.599
0.401 0.926 0.684
0.488 0.684 0.926
0.512 0.316 0.074
0.599 0.074 0.316
0.684 0.488 0.401
0.926 0.401 0.488

***

No. 9
ScCrPb2 | Alexandria | PBE-GGA | relaxed; V = 23.3 A^3/atom; crystal system = tetragonal; ΔE to the lowest computed polymorph = 65 meV/atom; DFT formation energy = 0.17 eV per atom; total magnetization = 3.9 μB/cell
1.0
3.379 0.000 0.000
0.000 3.379 0.000
0.000 0.000 8.158
Sc Cr Pb
1 1 2
Direct
0.000 0.000 0.000
0.000 0.000 0.500
0.500 0.500 0.263
0.500 0.500 0.737

***

No. 10
PaNiPd | Alexandria | PBE-GGA | relaxed; V = 18.0 A^3/atom; crystal system = monoclinic; ΔE to the lowest computed polymorph = 23 meV/atom; DFT formation energy = -0.50 eV per atom; total magnetization = 0.0 μB/cell
1.0
5.981 -1.865 0.000
5.981 1.865 0.000
-0.925 0.000 4.837
Pa Ni Pd
2 2 2
Direct
0.126 0.126 0.313
0.874 0.874 0.687
0.237 0.237 0.831
0.763 0.763 0.169
0.431 0.431 0.225
0.569 0.569 0.775

***

No. 11
TbPu3Ge4 | Alexandria | PBE-GGA | relaxed; V = 24.9 A^3/atom; crystal system = orthorhombic; DFT formation energy = -0.35 eV per atom; total magnetization = 5.9 μB/cell
1.0
-1.861 3.287 8.135
1.861 -3.287 8.135
1.861 3.287 -8.135
Tb Pu Ge
1 3 4
Direct
0.000 0.000 0.000
0.202 0.702 0.500
0.500 0.500 0.000
0.798 0.298 0.500
0.178 0.871 0.307
0.436 0.129 0.307
0.564 0.871 0.693
0.822 0.129 0.693

***

No. 12
Sc2SnP | Alexandria | PBE-GGA | relaxed; V = 20.6 A^3/atom; crystal system = cubic; ΔE to the lowest computed polymorph = 538 meV/atom; DFT formation energy = -0.52 eV per atom; total magnetization = 0.0 μB/cell
1.0
0.000 3.456 3.456
3.456 0.000 3.456
3.456 3.456 0.000
Sc Sn P
2 1 1
Direct
0.250 0.250 0.250
0.750 0.750 0.750
0.000 0.000 0.000
0.500 0.500 0.500

***

No. 13
CrMo4W | Alexandria | PBE-GGA | relaxed; V = 15.3 A^3/atom; crystal system = tetragonal; ΔE to the lowest computed polymorph = 0 meV/atom; DFT formation energy = 0.03 eV per atom; total magnetization = 0.0 μB/cell
1.0
3.132 0.000 0.000
0.000 3.132 0.000
0.000 0.000 9.343
Cr Mo W
1 4 1
Direct
0.000 0.000 0.000
0.000 0.000 0.329
0.000 0.000 0.671
0.500 0.500 0.159
0.500 0.500 0.841
0.500 0.500 0.500

***

No. 14
LaEuTmSn | Alexandria | PBE-GGA | relaxed; V = 30.2 A^3/atom; crystal system = cubic; DFT formation energy = -0.25 eV per atom; total magnetization = 7.9 μB/cell
1.0
0.000 3.925 3.925
3.925 0.000 3.925
3.925 3.925 0.000
La Eu Tm Sn
1 1 1 1
Direct
0.000 0.000 0.000
0.750 0.750 0.750
0.500 0.500 0.500
0.250 0.250 0.250

***

No. 15
KMnAl | Alexandria | PBE-GGA | relaxed; V = 26.4 A^3/atom; crystal system = tetragonal; ΔE to the lowest computed polymorph = 0 meV/atom; DFT formation energy = 0.43 eV per atom; total magnetization = 3.0 μB/cell
1.0
-1.767 1.767 6.337
1.767 -1.767 6.337
1.767 1.767 -6.337
K Mn Al
1 1 1
Direct
0.000 0.000 0.000
0.261 0.261 0.000
0.735 0.735 0.000

***

No. 16
La2Pr6DyY | Alexandria | PBE-GGA | relaxed; V = 35.8 A^3/atom; crystal system = monoclinic; DFT formation energy = 0.11 eV per atom; total magnetization = 0.0 μB/cell
1.0
4.630 -7.725 0.000
4.630 7.725 0.000
-1.770 0.000 10.000
La Pr Dy Y
4 12 2 2
Direct
0.193 0.294 0.041
0.294 0.193 0.541
0.706 0.807 0.459
0.807 0.706 0.959
0.019 0.580 0.189
0.123 0.746 0.555
0.254 0.877 0.945
0.294 0.495 0.379
0.420 0.981 0.311
0.495 0.294 0.879
0.505 0.706 0.121
0.580 0.019 0.689
0.706 0.505 0.621
0.746 0.123 0.055
0.877 0.254 0.445
0.981 0.420 0.811
0.405 0.595 0.750
0.595 0.405 0.250
0.014 0.986 0.250
0.986 0.014 0.750

***

No. 17
TlAg2OsPd | Alexandria | PBE-GGA | relaxed; V = 26.0 A^3/atom; crystal system = tetragonal; DFT formation energy = 1.87 eV per atom; total magnetization = 3.0 μB/cell
1.0
5.097 0.000 0.000
0.000 5.097 0.000
0.000 0.000 5.010
Tl Ag Os Pd
1 2 1 1
Direct
0.000 0.000 0.000
0.000 0.500 0.000
0.500 0.000 0.000
0.500 0.500 0.500
0.000 0.000 0.500

***

No. 18
CsRbLi | Alexandria | PBE-GGA | relaxed; V = 70.9 A^3/atom; crystal system = trigonal; ΔE to the lowest computed polymorph = 31 meV/atom; DFT formation energy = 0.18 eV per atom; total magnetization = 0.0 μB/cell
1.0
7.029 0.000 0.000
-3.515 6.088 0.000
0.000 0.000 4.972
Cs Rb Li
1 1 1
Direct
0.000 0.000 0.000
0.333 0.667 0.574
0.667 0.333 0.407

***

No. 19
BaCSe2 | Alexandria | PBE-GGA | relaxed; V = 25.3 A^3/atom; crystal system = tetragonal; raw formation energy = 0.116 eV per atom; total magnetization = 0.0 μB/cell
1.0
-3.613 3.613 3.874
3.613 -3.613 3.874
3.613 3.613 -3.874
Ba C Se
2 2 4
Direct
0.000 0.000 0.000
0.750 0.250 0.500
0.250 0.750 0.500
0.500 0.500 0.000
0.259 0.625 0.134
0.375 0.509 0.634
0.491 0.125 0.866
0.875 0.741 0.366